Here is an optimized crystal structure of Th6SnAs2P3 from the Alexandria database. Energies are from PBE-GGA.

Geometry as extended XYZ:
```
12
Lattice="9.2693 -2.1142 0.0000 9.2693 2.1142 0.0000 -2.0260 0.0000 8.2844" Properties=species:S:1:pos:R:3 pbc="T T T"
Th -0.4344 0.0000 1.9153
Th 5.1969 0.0000 3.5062
Th 4.3882 0.0000 7.5442
Th 12.1245 0.0000 0.7402
Th 11.3158 0.0000 4.7782
Th 16.9470 0.0000 6.3691
Sn 8.2563 0.0000 4.1422
As 1.4259 0.0000 6.9070
As 15.0867 0.0000 1.3774
P 2.3935 0.0000 2.7352
P 9.2693 0.0000 0.0000
P 14.1191 0.0000 5.5492
```

Summary:
The value obtained for the magnetic moment is 0.0000 μB/atom. The calculation puts the energy relative to the elements at -1.30 eV/atom. The space group is C2/m (12). The value obtained for the calculated density is 8.97 g/cm3. The calculation puts the volume at 27.06 A^3/atom. Its density of states at the Fermi level is 0.484 states/eV per atom. The crystal system is monoclinic.

Here is an optimized crystal structure of Th6SnAs3P2 from the Alexandria database. Energies are from PBE-GGA.

Geometry as extended XYZ:
```
12
Lattice="9.2860 -2.1281 0.0000 9.2860 2.1281 0.0000 -1.9552 0.0000 8.3328" Properties=species:S:1:pos:R:3 pbc="T T T"
Th -0.4218 0.0000 2.2074
Th 4.3199 0.0000 7.5234
Th 5.3141 0.0000 3.5196
Th 11.3026 0.0000 4.8132
Th 12.2968 0.0000 0.8094
Th 17.0386 0.0000 6.1254
Sn 9.2860 0.0000 0.0000
As 1.3998 0.0000 6.9459
As 8.3084 0.0000 4.1664
As 15.2169 0.0000 1.3869
P 2.4714 0.0000 2.8011
P 14.1453 0.0000 5.5318
```

Summary:
The value obtained for the magnetic moment is 0.0000 μB/atom. The calculation puts the energy relative to the elements at -1.26 eV/atom. The space group is C2/m (12). The value obtained for the calculated density is 9.06 g/cm3. The calculation puts the volume at 27.44 A^3/atom. Its density of states at the Fermi level is 0.520 states/eV per atom. The crystal system is monoclinic.